Entry 1:
Below is an optimized crystal structure of Na3AlO3, with properties calculated at the PBE-GGA level.

Values from the calculation:
Formation energy from raw total energies (kcal/mol of atoms): -46.41
Calculated total energy (eV per cell): -73.323
Space-group type: C2/m
ΔE to the lowest computed polymorph (kcal/mol of atoms): 0.18

abc: 6.034 6.034 5.885
angles: 94.68 94.68 116.63
Fractional coordinates of all 14 atoms:
Na 0.202 0.798 0.000
Na 0.262 0.738 0.500
Na 0.375 0.375 0.139
Na 0.625 0.625 0.861
Na 0.738 0.262 0.500
Na 0.798 0.202 0.000
Al 0.175 0.175 0.646
Al 0.825 0.825 0.354
O 0.109 0.109 0.332
O 0.163 0.444 0.766
O 0.444 0.163 0.766
O 0.556 0.837 0.234
O 0.837 0.556 0.234
O 0.891 0.891 0.668

Entry 2:
Below is an optimized crystal structure of Na3AlO, with properties calculated at the PBE-GGA level.

Values from the calculation:
Formation energy from raw total energies (kcal/mol of atoms): -8.67
Calculated total energy (eV per cell): -14.537
Space-group type: Pm-3m
ΔE to the lowest computed polymorph (kcal/mol of atoms): 0.00

abc: 4.717 4.717 4.717
angles: 90.00 90.00 90.00
Fractional coordinates of all 5 atoms:
Na 0.000 0.000 0.500
Na 0.000 0.500 0.000
Na 0.500 0.000 0.000
Al 0.500 0.500 0.500
O 0.000 0.000 0.000

Entry 3:
Below is an optimized crystal structure of NaAl4O7, with properties calculated at the PBE-GGA level.

Values from the calculation:
Formation energy from raw total energies (kcal/mol of atoms): -59.89
Calculated total energy (eV per cell): -164.320
Space-group type: Pmn2_1

abc: 13.138 5.405 5.068
angles: 90.00 90.00 90.00
Fractional coordinates of all 24 atoms:
Na 0.000 0.176 0.000
Na 0.500 0.824 0.500
Al 0.122 0.675 0.257
Al 0.249 0.167 0.253
Al 0.251 0.833 0.753
Al 0.378 0.325 0.757
Al 0.622 0.325 0.757
Al 0.749 0.833 0.753
Al 0.751 0.167 0.253
Al 0.878 0.675 0.257
O 0.000 0.774 0.166
O 0.142 0.729 0.593
O 0.144 0.362 0.196
O 0.215 0.877 0.093
O 0.285 0.123 0.593
O 0.356 0.638 0.696
O 0.358 0.271 0.093
O 0.500 0.226 0.666
O 0.642 0.271 0.093
O 0.644 0.638 0.696
O 0.715 0.123 0.593
O 0.785 0.877 0.093
O 0.856 0.362 0.196
O 0.858 0.729 0.593

Entry 4:
Below is an optimized crystal structure of NaAlO2, with properties calculated at the PBE-GGA level.

Values from the calculation:
Formation energy from raw total energies (kcal/mol of atoms): -59.65
Calculated total energy (eV per cell): -101.296
Space-group type: Pna2_1

abc: 5.465 7.063 5.286
angles: 90.00 90.00 90.00
Fractional coordinates of all 16 atoms:
Na 0.070 0.123 0.000
Na 0.430 0.623 0.500
Na 0.570 0.377 0.000
Na 0.930 0.877 0.500
Al 0.061 0.626 0.015
Al 0.439 0.126 0.515
Al 0.561 0.874 0.015
Al 0.939 0.374 0.515
O 0.033 0.578 0.344
O 0.125 0.174 0.444
O 0.375 0.674 0.944
O 0.467 0.078 0.844
O 0.533 0.922 0.344
O 0.625 0.326 0.444
O 0.875 0.826 0.944
O 0.967 0.422 0.844